Record 1
A geometry-optimized KNaNbOF5 structure. Source: the Open Quantum Materials Database, functional PBE.

Unit cell a=11.3744 b=5.7415 c=7.8993 alpha=90.00 beta=90.00 gamma=90.00
Sites, in units of the cell vectors:
F 0.3530 0.5540 0.1553
F 0.8530 0.9460 0.1553
F 0.6356 0.6654 0.1863
F 0.1356 0.8346 0.1863
F 0.0572 0.2239 0.3678
F 0.5572 0.2761 0.3678
F 0.4960 0.7142 0.4557
F 0.9960 0.7858 0.4557
F 0.2149 0.6464 0.4962
F 0.7149 0.8536 0.4962
F 0.1470 0.0540 0.6553
F 0.6470 0.4460 0.6553
F 0.8644 0.1654 0.6863
F 0.3644 0.3346 0.6863
F 0.4428 0.7239 0.8678
F 0.9428 0.7761 0.8678
F 0.0040 0.2142 0.9557
F 0.5040 0.2858 0.9557
F 0.2851 0.1464 0.9962
F 0.7851 0.3536 0.9962
K 0.9693 0.5376 0.1668
K 0.4693 0.9624 0.1668
K 0.5307 0.0376 0.6669
K 0.0307 0.4624 0.6669
Na 0.8665 0.0590 0.4187
Na 0.3665 0.4410 0.4187
Na 0.6335 0.5590 0.9187
Na 0.1335 0.9410 0.9187
Nb 0.6617 0.5468 0.4170
Nb 0.1617 0.9532 0.4170
Nb 0.8383 0.0468 0.9170
Nb 0.3383 0.4532 0.9170
O 0.3002 0.0798 0.3760
O 0.8002 0.4202 0.3760
O 0.1998 0.5798 0.8760
O 0.6998 0.9202 0.8760

The total energy is -5.893 eV/atom. The value obtained for the magnetization is 0.00 μB/cell.

Record 2
A geometry-optimized ZrScAg6 structure. Source: the Open Quantum Materials Database, functional PBE.

Unit cell a=4.8727 b=6.0174 c=5.0250 alpha=90.00 beta=90.00 gamma=90.00
Sites, in units of the cell vectors:
Ag 0.5000 0.0000 0.1689
Ag 0.0000 0.2522 0.3364
Ag 0.0000 0.7478 0.3364
Ag 0.5000 0.2460 0.6632
Ag 0.5000 0.7540 0.6632
Ag 0.0000 0.5000 0.8301
Sc 0.0000 0.0000 0.8451
Zr 0.5000 0.5000 0.1568

The total energy is -4.114 eV/atom. The value obtained for the magnetization is 0.01 μB/cell.

Record 3
A geometry-optimized TbPd4Pb3 structure. Source: the Open Quantum Materials Database, functional PBE.

Unit cell a=5.7642 b=4.4577 c=6.6226 alpha=90.00 beta=90.87 gamma=90.00
Sites, in units of the cell vectors:
Pb 0.8684 0.5000 0.1761
Pb 0.6245 0.5000 0.6676
Pb 0.1462 0.0000 0.8241
Pd 0.3497 0.5000 0.0367
Pd 0.8400 0.0000 0.4704
Pd 0.1490 0.5000 0.5436
Pd 0.6637 0.0000 0.9613
Tb 0.3584 0.0000 0.3202

The total energy is -5.015 eV/atom. The value obtained for the magnetization is 0.00 μB/cell.

Record 4
A geometry-optimized PrNiMo structure. Source: the Open Quantum Materials Database, functional PBE.

Unit cell a=4.5590 b=4.5590 c=4.5590 alpha=60.00 beta=60.00 gamma=60.00
Sites, in units of the cell vectors:
Mo 0.2500 0.2500 0.2500
Ni 0.7500 0.7500 0.7500
Pr 0.0000 0.0000 0.0000

The total energy is -5.697 eV/atom. The value obtained for the magnetization is 2.83 μB/cell.

Record 5
A geometry-optimized LuAl structure. Source: the Open Quantum Materials Database, functional PBE.

Unit cell a=4.7325 b=4.7325 c=4.7325 alpha=60.00 beta=60.00 gamma=60.00
Sites, in units of the cell vectors:
Al 0.0000 0.0000 0.0000
Lu 0.2500 0.2500 0.2500

The total energy is -3.103 eV/atom. The value obtained for the magnetization is 0.59 μB/cell.

Record 6
A geometry-optimized TmPbAuS3 structure. Source: the Open Quantum Materials Database, functional PBE.

Unit cell a=7.6702 b=3.9648 c=9.7111 alpha=90.00 beta=107.60 gamma=90.00
Sites, in units of the cell vectors:
Au 0.6324 0.2500 0.0836
Au 0.3676 0.7500 0.9164
Pb 0.2354 0.7500 0.2083
Pb 0.7646 0.2500 0.7917
S 0.8203 0.7500 0.0471
S 0.5641 0.2500 0.3206
S 0.0731 0.2500 0.3730
S 0.9269 0.7500 0.6270
S 0.4359 0.7500 0.6794
S 0.1797 0.2500 0.9529
Tm 0.8126 0.7500 0.3369
Tm 0.1874 0.2500 0.6631

The total energy is -4.945 eV/atom. The value obtained for the magnetization is 0.01 μB/cell.